# Gd2NiSn

Gd2NiSn after structural relaxation (PBE, OQMD via LeMat-Bulk).

Summary:
The volume is 98.60 Å³ per cell. The crystal system is orthorhombic. As for the space group: Amm2 (38). The electronic total energy comes out at -5.24 eV/atom.

a b c (Å): 4.240 5.967 5.967
angles (deg): 40.78 90.00 90.00
Positions (direct):
Gd (0.500, 0.860, 0.860)
Gd (0.000, 0.154, 0.154)
Sn (0.500, 0.571, 0.571)
Ni (0.000, 0.415, 0.415)

# Gd2NiSn6

Gd2NiSn6 after structural relaxation (PBE, OQMD via LeMat-Bulk).

Summary:
The volume is 222.19 Å³ per cell. The crystal system is orthorhombic. As for the space group: Cmmm (65). The electronic total energy comes out at -4.81 eV/atom.

a b c (Å): 11.622 11.622 4.443
angles (deg): 90.00 90.00 158.27
Positions (direct):
Gd (0.677, 0.323, 0.500)
Gd (0.323, 0.677, 0.500)
Sn (0.205, 0.795, 0.000)
Sn (0.431, 0.569, 0.000)
Sn (0.931, 0.069, 0.500)
Sn (0.069, 0.931, 0.500)
Sn (0.795, 0.205, 0.000)
Sn (0.569, 0.431, 0.000)
Ni (0.000, 0.000, 0.000)

# TbGdNi4Sn2

TbGdNi4Sn2 after structural relaxation (PBE, OQMD via LeMat-Bulk).

Summary:
The volume is 142.87 Å³ per cell. The crystal system is hexagonal. As for the space group: P-6m2 (187). The electronic total energy comes out at -5.47 eV/atom.

a b c (Å): 4.365 4.365 8.659
angles (deg): 90.00 90.00 120.00
Positions (direct):
Sn (0.667, 0.333, 0.251)
Sn (0.667, 0.333, 0.749)
Tb (0.333, 0.667, 0.500)
Ni (0.000, 0.000, 0.666)
Ni (0.333, 0.667, 0.168)
Ni (0.333, 0.667, 0.832)
Ni (0.000, 0.000, 0.334)
Gd (0.000, 0.000, 0.000)

# GdYNi2Sn

GdYNi2Sn after structural relaxation (PBE, OQMD via LeMat-Bulk).

Summary:
The volume is 102.49 Å³ per cell. The crystal system is orthorhombic. As for the space group: Amm2 (38). The electronic total energy comes out at -5.86 eV/atom.

a b c (Å): 3.682 7.235 7.235
angles (deg): 32.13 90.00 90.00
Positions (direct):
Sn (0.000, 0.001, 0.001)
Ni (0.000, 0.199, 0.199)
Ni (0.000, 0.802, 0.802)
Gd (0.500, 0.363, 0.363)
Y (0.500, 0.636, 0.636)

These records have size of the total moment values of 0.0; 0.0; 0.0; 0.0 μB/cell, in the order they appear.